Compound: La2PrSm8
Source: the Alexandria database
Functional: PBE-GGA
Structure: optimized geometry

Summary:
Its formation energy from the elements is 14.0 kJ/mol of atoms. The total moment comes out at 0.0 μB/f.u. The energy above the most stable polymorph in this dataset comes out at 126 meV per atom.

Cell lengths 16.9170, 6.8203, 6.8516 Å; angles 90.00, 99.92, 90.00 degrees
Space group C2/m (No. 12)
One atom of each set of equivalent atoms:
La 0.2023 0.0000 0.3039 x4
Pr 0.0000 0.0000 0.5000 x2
Sm 0.0872 0.5000 0.4061 x4
Sm 0.0892 0.2633 0.9092 x8
Sm 0.2444 0.0000 0.8107 x4